An optimized crystal structure of KRbCuF4, computed with PBE.

Properties
* E_form (uncorrected): -2279 meV/atom

a b c (Å): 5.906 13.353 5.908
angles (deg): 90.00 90.00 90.00
Space group Cmcm (No. 63)
Symmetry-distinct sites (fractional):
K  0.000  0.110  0.250 [4 per cell]
Rb  0.000  0.397  0.250 [4 per cell]
Cu  0.000  0.248  0.750 [4 per cell]
F  0.000  0.098  0.750 [4 per cell]
F  0.000  0.396  0.750 [4 per cell]
F  0.250  0.250  0.000 [8 per cell]



An optimized crystal structure of KRb2Cu2F7, computed with PBE.

Properties
* E_form (uncorrected): -2197 meV/atom

a b c (Å): 5.859 5.859 11.306
angles (deg): 90.00 104.95 90.00
Space group C2/m (No. 12)
Symmetry-distinct sites (fractional):
K  0.000  0.000  0.000 [2 per cell]
Rb  0.182  0.000  0.367 [4 per cell]
Cu  0.091  0.500  0.185 [4 per cell]
F  0.000  0.500  0.000 [2 per cell]
F  0.160  0.250  0.818 [8 per cell]
F  0.184  0.500  0.370 [4 per cell]



Copy entry 2 word for word.
An optimized crystal structure of KRb2Cu2F7, computed with PBE.

Properties
* E_form (uncorrected): -2197 meV/atom

a b c (Å): 5.859 5.859 11.306
angles (deg): 90.00 104.95 90.00
Space group C2/m (No. 12)
Symmetry-distinct sites (fractional):
K  0.000  0.000  0.000 [2 per cell]
Rb  0.182  0.000  0.367 [4 per cell]
Cu  0.091  0.500  0.185 [4 per cell]
F  0.000  0.500  0.000 [2 per cell]
F  0.160  0.250  0.818 [8 per cell]
F  0.184  0.500  0.370 [4 per cell]